An optimized crystal structure of Mn2OsO2, computed with GGA+U.

Output
Relative energy among the computed polymorphs = 0 meV per atom

Structure (CIF):
```
data_Mn2OsO2
_cell_length_a 4.4329
_cell_length_b 4.4329
_cell_length_c 7.5960
_cell_angle_alpha 90.00
_cell_angle_beta 90.00
_cell_angle_gamma 90.00
_symmetry_space_group_name_H-M 'I 4/m m m'
_symmetry_Int_Tables_number 139
_symmetry_space_group_name_Hall '-I 4 2'
loop_
_atom_site_label
_atom_site_fract_x
_atom_site_fract_y
_atom_site_fract_z
_atom_site_occupancy
Mn1 0.0000 0.5000 0.2500 1
Os1 0.0000 0.0000 0.0000 1
O1 0.0000 0.0000 0.2566 1
```